1.
A relaxed Pm2MgCu crystal. Source: the Alexandria database, functional PBE.

## Properties
ρ ... 5.53 Mg/m³
Energy above the most stable polymorph in this dataset ... 0.357 eV/atom
E_tot ... -42.66 eV for the cell shown
Formation energy ... 0.24 eV/atom

Structure (CIF):
```
data_Pm2MgCu
_chemical_formula_sum 'Pm6 Mg3 Cu3'
_space_group_name_H-M_alt 'R -3 m'
_space_group_IT_number 166
_space_group_name_Hall '-R 3 2"'
_cell_length_a 3.4364
_cell_length_b 3.4364
_cell_length_c 33.3002
_cell_angle_alpha 90.00
_cell_angle_beta 90.00
_cell_angle_gamma 120.00
loop_
_atom_site_label
_atom_site_fract_x
_atom_site_fract_y
_atom_site_fract_z
Pm1 0.0000 0.0000 0.1016
Mg1 0.0000 0.0000 0.0000
Cu1 0.0000 0.0000 0.5000
```

2.
A relaxed Pm3Mg7Cu4 crystal. Source: the Alexandria database, functional PBE.

## Properties
ρ ... 4.67 Mg/m³
E_tot ... -87.10 eV for the cell shown
Formation energy ... -0.13 eV/atom

Structure (CIF):
```
data_Pm3Mg7Cu4
_chemical_formula_sum 'Pm6 Mg14 Cu8'
_space_group_name_H-M_alt 'C 1 2/m 1'
_space_group_IT_number 12
_space_group_name_Hall '-C 2y'
_cell_length_a 16.2227
_cell_length_b 4.3636
_cell_length_c 10.2989
_cell_angle_alpha 90.00
_cell_angle_beta 123.12
_cell_angle_gamma 90.00
loop_
_atom_site_label
_atom_site_fract_x
_atom_site_fract_y
_atom_site_fract_z
Pm1 0.0000 0.0000 0.0000
Pm2 0.1930 0.5000 0.7072
Mg1 0.0000 0.0000 0.5000
Mg2 0.0120 0.5000 0.2936
Mg3 0.1667 0.0000 0.4304
Mg4 0.1786 0.5000 0.0156
Cu1 0.1143 0.0000 0.8253
Cu2 0.1650 0.5000 0.2645
```